Entry from Alexandria via LeMat-Bulk: ZrP2WO after structural relaxation (PBE+U).

Cell and atoms, written as POSCAR:
```
ZrP2WO
1.0
4.918 0.000 0.000
0.000 4.918 0.000
0.000 0.000 3.759
Zr P W O
1 2 1 1
direct
0.000 0.000 0.000
0.000 0.500 0.500
0.500 0.000 0.500
0.500 0.500 0.500
0.500 0.500 0.000
```

Output
* space group: No. 123
* crystal system: tetragonal
* energy above the most stable polymorph in this dataset: 0 meV per atom
* electronic total energy: -6.69 eV per atom

Entry from Alexandria via LeMat-Bulk: ZrPWO2 after structural relaxation (PBE+U).

Cell and atoms, written as POSCAR:
```
ZrPWO2
1.0
3.912 0.000 0.000
0.000 3.912 0.000
0.000 0.000 5.278
Zr P W O
1 1 1 2
direct
0.000 0.000 0.000
0.500 0.500 0.000
0.500 0.500 0.500
0.000 0.500 0.500
0.500 0.000 0.500
```

Output
* space group: No. 123
* crystal system: tetragonal
* energy above the most stable polymorph in this dataset: 0 meV per atom
* electronic total energy: -7.24 eV per atom